Entry 1:
A plane-wave DFT calculation with PBE-GGA was carried out for a geometry-optimized ScAlSe2Br structure.

a b c (Å): 5.1690 5.1690 5.4019
angles (deg): 90.00 90.00 90.00
Element x y z (fractional)
Sc1 0.0000 0.0000 0.0000
Al1 0.5000 0.5000 0.5000
Se1 0.0000 0.5000 0.0000
Se2 0.5000 0.0000 0.0000
Br1 0.0000 0.0000 0.5000

Values from the calculation:
* N(E_F): 5.57 states/eV/cell
* formation energy from raw total energies: -295 kJ/mol of formula units
* SG: P4/mmm, No. 123
* excess energy over the best structure of this formula in the dataset: 0 meV/atom
* calculated volume: 144.33 Å³/cell

Entry 2:
A plane-wave DFT calculation with PBE-GGA was carried out for a geometry-optimized Sc2AlVBr structure.

a b c (Å): 5.0669 5.0669 4.6415
angles (deg): 90.00 90.00 90.00
Element x y z (fractional)
Sc1 0.0000 0.5000 0.0000
Sc2 0.5000 0.0000 0.0000
Al1 0.0000 0.0000 0.5000
V1 0.5000 0.5000 0.0000
Br1 0.5000 0.5000 0.5000

Values from the calculation:
* N(E_F): 6.25 states/eV/cell
* formation energy from raw total energies: 261 kJ/mol of formula units
* SG: P4/mmm, No. 123
* calculated volume: 119.16 Å³/cell